Here is Ta2IrAu at its PBEsol-relaxed geometry from the Alexandria database. Energies are from meta-GGA SCAN.

Structure (extended XYZ):
```
4
Lattice="0.000 3.196 3.196 3.196 0.000 3.196 3.196 3.196 0.000" Properties=species:S:1:pos:R:3 pbc="T T T"
Ta 0.000 0.000 0.000
Ta 1.598 1.598 1.598
Ir 4.794 4.794 4.794
Au 3.196 3.196 3.196
```

Output
E_tot: -68.45 eV per atom
magnetic moment: 0.0 μB per cell

Here is TaIrAu2 at its PBEsol-relaxed geometry from the Alexandria database. Energies are from meta-GGA SCAN.

Structure (extended XYZ):
```
4
Lattice="2.864 0.000 0.000 0.000 4.910 0.000 -0.125 0.000 4.688" Properties=species:S:1:pos:R:3 pbc="T T T"
Ta 0.000 0.000 0.000
Ir 1.369 0.000 2.344
Au 0.649 2.455 3.513
Au 2.090 2.455 1.175
```

Output
E_tot: -68.98 eV per atom
magnetic moment: 0.0 μB per cell

Here is Ta2IrAu at its PBEsol-relaxed geometry from the Alexandria database. Energies are from meta-GGA SCAN.

Structure (extended XYZ):
```
4
Lattice="2.855 0.000 0.000 0.000 4.039 0.000 0.000 0.000 5.599" Properties=species:S:1:pos:R:3 pbc="T T T"
Ta 0.000 0.000 1.341
Ta 0.000 0.000 4.259
Ir 1.428 2.019 0.000
Au 1.428 2.019 2.800
```

Output
E_tot: -68.83 eV per atom
magnetic moment: 0.0 μB per cell

Here is Ta2IrAu at its PBEsol-relaxed geometry from the Alexandria database. Energies are from meta-GGA SCAN.

Structure (extended XYZ):
```
4
Lattice="2.829 0.000 0.000 0.000 2.829 0.000 0.000 0.000 8.125" Properties=species:S:1:pos:R:3 pbc="T T T"
Ta 0.000 0.000 1.911
Ta 0.000 0.000 6.214
Ir 1.414 1.414 0.000
Au 1.414 1.414 4.063
```

Output
E_tot: -68.83 eV per atom
magnetic moment: 0.0 μB per cell

Here is TaIr2Au at its PBEsol-relaxed geometry from the Alexandria database. Energies are from meta-GGA SCAN.

Structure (extended XYZ):
```
4
Lattice="2.785 -4.622 0.000 2.785 4.622 0.000 -1.361 0.000 2.420" Properties=species:S:1:pos:R:3 pbc="T T T"
Ta 0.000 0.000 0.000
Ir 0.712 2.311 1.210
Ir 0.712 -2.311 1.210
Au 2.785 0.000 0.000
```

Output
E_tot: -69.54 eV per atom
magnetic moment: 0.0 μB per cell

Here is Ta2IrAu at its PBEsol-relaxed geometry from the Alexandria database. Energies are from meta-GGA SCAN.

Structure (extended XYZ):
```
4
Lattice="2.788 -4.031 0.000 2.788 4.031 0.000 0.000 0.000 2.867" Properties=species:S:1:pos:R:3 pbc="T T T"
Ta 1.394 2.016 0.000
Ta 1.394 -2.016 0.000
Ir 0.000 0.000 1.433
Au 2.788 0.000 1.433
```

Output
E_tot: -68.82 eV per atom
magnetic moment: 0.0 μB per cell

Here is TcIrAu2 at its PBEsol-relaxed geometry from the Alexandria database. Energies are from meta-GGA SCAN.

Structure (extended XYZ):
```
4
Lattice="2.749 0.000 0.000 0.000 4.727 0.000 0.000 0.000 4.826" Properties=species:S:1:pos:R:3 pbc="T T T"
Tc 0.000 0.000 0.000
Ir 1.374 2.364 0.000
Au 0.000 2.364 2.413
Au 1.374 0.000 2.413
```

Output
magnetic moment: 1.3 μB per cell
ΔE to the lowest computed polymorph: 0.74 eV/f.u.

Here is TcIrAu2 at its PBEsol-relaxed geometry from the Alexandria database. Energies are from meta-GGA SCAN.

Structure (extended XYZ):
```
4
Lattice="4.574 -1.392 0.000 4.574 1.392 0.000 -0.820 0.000 4.822" Properties=species:S:1:pos:R:3 pbc="T T T"
Tc 0.000 0.000 0.000
Ir 1.738 0.000 3.898
Au 4.229 0.000 2.514
Au 6.659 0.000 1.379
```

Output
magnetic moment: 0.0 μB per cell
ΔE to the lowest computed polymorph: 0.00 eV/f.u.